No. 1
# PBE-GGA SmRh2Pb2, relaxed
# * total magnetic moment: 0.0 μB/f.u.
# * E_form: -290 meV per atom
# * total energy: -5.6581 eV per atom
data_SmRh2Pb2
_chemical_formula_sum 'Sm2 Rh4 Pb4'
_symmetry_space_group_name_H-M 'C 1 2/m 1'
_symmetry_Int_Tables_number 12
_symmetry_space_group_name_Hall '-C 2y'
_cell_length_a 8.5722
_cell_length_b 4.9536
_cell_length_c 5.8691
_cell_angle_alpha 90.00
_cell_angle_beta 118.70
_cell_angle_gamma 90.00
loop_
_atom_site_label
_atom_site_fract_x
_atom_site_fract_y
_atom_site_fract_z
_atom_site_occupancy
Sm1 0.0000 0.0000 0.0000 1
Rh1 0.0861 0.5000 0.7609 1
Pb1 0.2246 0.0000 0.6731 1

---

No. 2
# PBE-GGA Sm3RhPb2, relaxed
# * total magnetic moment: 0.0 μB/f.u.
# * offset from the most stable computed form: 0 meV per atom
# * E_form: -624 meV per atom
# * total energy: -5.4448 eV per atom
data_Sm3RhPb2
_chemical_formula_sum 'Sm12 Rh4 Pb8'
_symmetry_space_group_name_H-M 'P n m a'
_symmetry_Int_Tables_number 62
_symmetry_space_group_name_Hall '-P 2ac 2n'
_cell_length_a 12.7812
_cell_length_b 4.4593
_cell_length_c 12.0113
_cell_angle_alpha 90.00
_cell_angle_beta 90.00
_cell_angle_gamma 90.00
loop_
_atom_site_label
_atom_site_fract_x
_atom_site_fract_y
_atom_site_fract_z
_atom_site_occupancy
Sm1 0.0522 0.2500 0.1320 1
Sm2 0.1209 0.7500 0.5422 1
Sm3 0.2440 0.2500 0.7900 1
Rh1 0.1283 0.2500 0.3676 1
Pb1 0.0062 0.2500 0.6922 1
Pb2 0.1852 0.7500 0.9997 1